Crystalline La2Ho8In at its relaxed geometry, computed with GGA-PBE.

Computed properties:
E_form = -49 meV per atom
theoretical density = 8.3 g/cm3
final energy = -4.523 eV per atom

abc: 4.965 7.875 9.396
angles: 104.48 105.32 90.00
Atoms (fractional coordinates):
Ho: 0.043 0.726 0.086
Ho: 0.679 0.907 0.358
Ho: 0.588 0.442 0.175
Ho: 0.321 0.093 0.642
Ho: 0.957 0.274 0.914
Ho: 0.133 0.171 0.266
Ho: 0.412 0.558 0.825
Ho: 0.867 0.829 0.734
La: 0.780 0.368 0.560
La: 0.220 0.632 0.440
In: 0.500 0.000 0.000